Computed, not measured: a crystal of FeAg2Sb relaxed with PBEsol at the meta-GGA SCAN level of DFT.

Cell lengths 3.3309, 3.3411, 6.0755 Å; angles 90.00, 90.00, 90.00 degrees
Closest atoms and distances in Å follow each position.
Sites, in units of the cell vectors:
Fe  0.0000  0.0000  0.5116  4 Sb 2.66, 4 Ag 2.82
Sb  0.5000  0.5000  0.7125  4 Fe 2.66, 1 Ag 2.77
Ag  0.5000  0.5000  0.2558  4 Ag 2.76, 1 Sb 2.77, 4 Fe 2.82
Ag  0.0000  0.0000  0.0201  4 Ag 2.76, 2 Fe 2.99-3.09, 4 Sb 3.01

Computed properties:
Space-group type = Pmm2, No. 25
ΔE_f (raw) = 306 meV per atom
D(E_F) = 2.45 states/eV/f.u.
E_tot = -29.23 eV per atom